## NaErSn (PBE-GGA)

Data for NaErSn after structural relaxation.

calculated volume: 177 Å³ per cell
mass density: 5.8 Mg/m³
excess energy over the best structure of this formula in the dataset: 0.043 eV/atom
electronic total energy: -21.1 eV per cell

The structure in CIF format:
```
data_NaErSn
_space_group_name_H-M_alt 'P -3 m 1'
_space_group_IT_number 164
_space_group_name_Hall '-P 3 2"'
_cell_length_a 5.1562
_cell_length_b 5.1562
_cell_length_c 7.6798
_cell_angle_alpha 90.00
_cell_angle_beta 90.00
_cell_angle_gamma 120.00
loop_
_atom_site_label
_atom_site_fract_x
_atom_site_fract_y
_atom_site_fract_z
_atom_site_occupancy
Na1 0.3333 0.6667 0.3870 1
Er1 0.3333 0.6667 0.9018 1
Sn1 0.0000 0.0000 0.2046 1
```